Material: Sc2BeCo
Method: DFT, PBE-GGA
State: optimized geometry

Values from the calculation:
density: 3.95 g/cm3
magnetization: 0.00 μB/f.u.
raw total energy: -5.57 eV/atom

Structure (CIF):
```
data_Sc2BeCo
_cell_length_a 7.009
_cell_length_b 7.009
_cell_length_c 5.398
_cell_angle_alpha 90.00
_cell_angle_beta 90.00
_cell_angle_gamma 90.00
_space_group_name_H-M_alt 'I -4 2 d'
_space_group_IT_number 122
_space_group_name_Hall 'I -4 2bw'
loop_
_atom_site_label
_atom_site_type_symbol
_atom_site_fract_x
_atom_site_fract_y
_atom_site_fract_z
_atom_site_occupancy
Sc1 Sc 0.221 0.250 0.125 1
Be1 Be 0.000 0.000 0.500 1
Co1 Co 0.000 0.000 0.000 1
```

=====

Material: Sc2BeCo
Method: DFT, PBE-GGA
State: optimized geometry

Values from the calculation:
density: 4.15 g/cm3
magnetization: 0.83 μB/f.u.
raw total energy: -5.97 eV/atom

Structure (CIF):
```
data_Sc2BeCo
_cell_length_a 3.083
_cell_length_b 4.400
_cell_length_c 9.319
_cell_angle_alpha 90.00
_cell_angle_beta 90.00
_cell_angle_gamma 90.00
_space_group_name_H-M_alt 'I m m 2'
_space_group_IT_number 44
loop_
_space_group_symop_operation_xyz
'x,y,z'
'-x,-y,z'
'-x,y,z'
'x,-y,z'
'x+1/2,y+1/2,z+1/2'
'-x+1/2,-y+1/2,z+1/2'
'-x+1/2,y+1/2,z+1/2'
'x+1/2,-y+1/2,z+1/2'
loop_
_atom_site_label
_atom_site_type_symbol
_atom_site_fract_x
_atom_site_fract_y
_atom_site_fract_z
_atom_site_occupancy
Sc1 Sc 0.000 0.000 0.000 1
Sc2 Sc 0.000 0.500 0.208 1
Be1 Be 0.000 0.500 0.785 1
Co1 Co 0.000 0.000 0.455 1
```

=====

Material: Sc12BeCo6
Method: DFT, PBE-GGA
State: optimized geometry

Values from the calculation:
density: 4.25 g/cm3
magnetization: 0.00 μB/f.u.
raw total energy: -6.64 eV/atom

Structure (CIF):
```
data_Sc12BeCo6
_cell_length_a 8.902
_cell_length_b 8.902
_cell_length_c 8.902
_cell_angle_alpha 90.00
_cell_angle_beta 90.00
_cell_angle_gamma 90.00
_space_group_name_H-M_alt 'I m -3'
_space_group_IT_number 204
_space_group_name_Hall '-I 2 2 3'
loop_
_atom_site_label
_atom_site_type_symbol
_atom_site_fract_x
_atom_site_fract_y
_atom_site_fract_z
_atom_site_occupancy
Sc1 Sc 0.000 0.195 0.292 1
Be1 Be 0.000 0.000 0.000 1
Co1 Co 0.000 0.379 0.500 1
```

=====

Material: ScBe3Co2
Method: DFT, PBE-GGA
State: optimized geometry

Values from the calculation:
density: 4.65 g/cm3
magnetization: 0.00 μB/f.u.
raw total energy: -5.53 eV/atom

Structure (CIF):
```
data_ScBe3Co2
_cell_length_a 8.156
_cell_length_b 6.569
_cell_length_c 5.061
_cell_angle_alpha 90.00
_cell_angle_beta 90.00
_cell_angle_gamma 90.00
_space_group_name_H-M_alt 'C m c m'
_space_group_IT_number 63
_space_group_name_Hall '-C 2c 2'
loop_
_atom_site_label
_atom_site_type_symbol
_atom_site_fract_x
_atom_site_fract_y
_atom_site_fract_z
_atom_site_occupancy
Sc1 Sc 0.000 0.167 0.250 1
Be1 Be 0.000 0.443 0.750 1
Be2 Be 0.180 0.221 0.750 1
Co1 Co 0.207 0.500 0.000 1
```

=====

Material: ScBeCo4
Method: DFT, PBE-GGA
State: optimized geometry

Values from the calculation:
density: 6.46 g/cm3
magnetization: 4.81 μB/f.u.
raw total energy: -6.50 eV/atom

Structure (CIF):
```
data_ScBeCo4
_cell_length_a 6.679
_cell_length_b 6.679
_cell_length_c 6.679
_cell_angle_alpha 90.00
_cell_angle_beta 90.00
_cell_angle_gamma 90.00
_space_group_name_H-M_alt 'F -4 3 m'
_space_group_IT_number 216
_space_group_name_Hall 'F -4 2 3'
loop_
_atom_site_label
_atom_site_type_symbol
_atom_site_fract_x
_atom_site_fract_y
_atom_site_fract_z
_atom_site_occupancy
Sc1 Sc 0.000 0.000 0.000 1
Be1 Be 0.250 0.250 0.750 1
Co1 Co 0.124 0.124 0.376 1
```

=====

Material: Sc4BeCo
Method: DFT, PBE-GGA
State: optimized geometry

Values from the calculation:
energy above the lowest structure with this stoichiometry: 727.8 meV/atom
density: 3.44 g/cm3
magnetization: 1.91 μB/f.u.
raw total energy: -5.27 eV/atom

Structure (CIF):
```
data_Sc4BeCo
_cell_length_a 7.818
_cell_length_b 7.818
_cell_length_c 7.818
_cell_angle_alpha 90.00
_cell_angle_beta 90.00
_cell_angle_gamma 90.00
_space_group_name_H-M_alt 'F -4 3 m'
_space_group_IT_number 216
_space_group_name_Hall 'F -4 2 3'
loop_
_atom_site_label
_atom_site_type_symbol
_atom_site_fract_x
_atom_site_fract_y
_atom_site_fract_z
_atom_site_occupancy
Sc1 Sc 0.125 0.125 0.125 1
Be1 Be 0.250 0.250 0.750 1
Co1 Co 0.000 0.000 0.500 1
```

=====

Material: ScBe6Co2
Method: DFT, PBE-GGA
State: optimized geometry

Values from the calculation:
density: 3.86 g/cm3
magnetization: 0.00 μB/f.u.
raw total energy: -4.81 eV/atom

Structure (CIF):
```
data_ScBe6Co2
_cell_length_a 2.956
_cell_length_b 6.066
_cell_length_c 10.414
_cell_angle_alpha 90.00
_cell_angle_beta 90.00
_cell_angle_gamma 90.00
_space_group_name_H-M_alt 'I m m m'
_space_group_IT_number 71
_space_group_name_Hall '-I 2 2'
loop_
_atom_site_label
_atom_site_type_symbol
_atom_site_fract_x
_atom_site_fract_y
_atom_site_fract_z
_atom_site_occupancy
Sc1 Sc 0.000 0.000 0.000 1
Be1 Be 0.000 0.159 0.500 1
Be2 Be 0.000 0.298 0.317 1
Co1 Co 0.000 0.500 0.135 1
```

=====

Material: ScBeCo
Method: DFT, PBE-GGA
State: optimized geometry

Values from the calculation:
energy above the lowest structure with this stoichiometry: 0.0 meV/atom
density: 4.85 g/cm3
magnetization: 0.00 μB/f.u.
raw total energy: -6.02 eV/atom

Structure (CIF):
```
data_ScBeCo
_cell_length_a 4.756
_cell_length_b 5.034
_cell_length_c 6.453
_cell_angle_alpha 90.00
_cell_angle_beta 90.00
_cell_angle_gamma 90.00
_space_group_name_H-M_alt 'I m m a'
_space_group_IT_number 74
_space_group_name_Hall '-I 2b 2'
loop_
_atom_site_label
_atom_site_type_symbol
_atom_site_fract_x
_atom_site_fract_y
_atom_site_fract_z
_atom_site_occupancy
Sc1 Sc 0.000 0.250 0.130 1
Be1 Be 0.250 0.250 0.750 1
Co1 Co 0.000 0.000 0.500 1
```

=====

Material: ScBeCo2
Method: DFT, PBE-GGA
State: optimized geometry

Values from the calculation:
density: 5.74 g/cm3
magnetization: 0.85 μB/f.u.
raw total energy: -6.15 eV/atom

Structure (CIF):
```
data_ScBeCo2
_cell_length_a 7.767
_cell_length_b 2.935
_cell_length_c 4.586
_cell_angle_alpha 90.00
_cell_angle_beta 108.09
_cell_angle_gamma 90.00
_space_group_name_H-M_alt 'C 1 2/m 1'
_space_group_IT_number 12
loop_
_space_group_symop_operation_xyz
'x,y,z'
'-x,-y,-z'
'-x,y,-z'
'x,-y,z'
'x+1/2,y+1/2,z'
'-x+1/2,-y+1/2,-z'
'-x+1/2,y+1/2,-z'
'x+1/2,-y+1/2,z'
loop_
_atom_site_label
_atom_site_type_symbol
_atom_site_fract_x
_atom_site_fract_y
_atom_site_fract_z
_atom_site_occupancy
Sc1 Sc 0.000 0.000 0.000 1
Be1 Be 0.000 0.500 0.500 1
Co1 Co 0.226 0.000 0.688 1
```

=====

Material: ScBeCo2
Method: DFT, PBE-GGA
State: optimized geometry

Values from the calculation:
density: 5.70 g/cm3
magnetization: 1.40 μB/f.u.
raw total energy: -6.10 eV/atom

Structure (CIF):
```
data_ScBeCo2
_cell_length_a 2.780
_cell_length_b 3.963
_cell_length_c 4.676
_cell_angle_alpha 90.00
_cell_angle_beta 103.80
_cell_angle_gamma 90.00
_space_group_name_H-M_alt 'P 1 m 1'
_space_group_IT_number 6
loop_
_space_group_symop_operation_xyz
'x,y,z'
'x,-y,z'
loop_
_atom_site_label
_atom_site_type_symbol
_atom_site_fract_x
_atom_site_fract_y
_atom_site_fract_z
_atom_site_occupancy
Sc1 Sc 0.000 0.000 0.000 1
Be1 Be 0.616 0.500 0.270 1
Co1 Co 0.263 0.500 0.670 1
Co2 Co 0.597 0.000 0.486 1
```

=====

Material: ScBeCo2
Method: DFT, PBE-GGA
State: optimized geometry

Values from the calculation:
density: 5.81 g/cm3
magnetization: 1.35 μB/f.u.
raw total energy: -6.16 eV/atom

Structure (CIF):
```
data_ScBeCo2
_cell_length_a 9.191
_cell_length_b 2.990
_cell_length_c 3.948
_cell_angle_alpha 90.00
_cell_angle_beta 115.26
_cell_angle_gamma 90.00
_space_group_name_H-M_alt 'C 1 m 1'
_space_group_IT_number 8
loop_
_space_group_symop_operation_xyz
'x,y,z'
'x,-y,z'
'x+1/2,y+1/2,z'
'x+1/2,-y+1/2,z'
loop_
_atom_site_label
_atom_site_type_symbol
_atom_site_fract_x
_atom_site_fract_y
_atom_site_fract_z
_atom_site_occupancy
Sc1 Sc 0.000 0.000 0.000 1
Be1 Be 0.226 0.000 0.724 1
Co1 Co 0.007 0.500 0.507 1
Co2 Co 0.264 0.500 0.264 1
```

=====

Material: Sc2Be2Co
Method: DFT, PBE-GGA
State: optimized geometry

Values from the calculation:
energy above the lowest structure with this stoichiometry: 0.0 meV/atom
density: 3.81 g/cm3
magnetization: 0.00 μB/f.u.
raw total energy: -5.46 eV/atom

Structure (CIF):
```
data_Sc2Be2Co
_cell_length_a 6.199
_cell_length_b 6.199
_cell_length_c 3.788
_cell_angle_alpha 90.00
_cell_angle_beta 90.00
_cell_angle_gamma 90.00
_space_group_name_H-M_alt 'P 4/m b m'
_space_group_IT_number 127
_space_group_name_Hall '-P 4 2ab'
loop_
_atom_site_label
_atom_site_type_symbol
_atom_site_fract_x
_atom_site_fract_y
_atom_site_fract_z
_atom_site_occupancy
Sc1 Sc 0.184 0.316 0.000 1
Be1 Be 0.121 0.621 0.500 1
Co1 Co 0.000 0.000 0.500 1
```

=====

Material: Sc2Be12Co5
Method: DFT, PBE-GGA
State: optimized geometry

Values from the calculation:
density: 4.20 g/cm3
magnetization: 3.56 μB/f.u.
raw total energy: -5.14 eV/atom

Structure (CIF):
```
data_Sc2Be12Co5
_cell_length_a 7.7567
_cell_length_b 7.7567
_cell_length_c 11.2137
_cell_angle_alpha 90.00
_cell_angle_beta 90.00
_cell_angle_gamma 120.00
_space_group_name_H-M_alt 'R -3 m'
_space_group_IT_number 166
_space_group_name_Hall '-R 3 2"'
loop_
_atom_site_label
_atom_site_type_symbol
_atom_site_fract_x
_atom_site_fract_y
_atom_site_fract_z
_atom_site_occupancy
Sc1 Sc 0.0000 0.0000 0.1644 1
Be1 Be 0.0000 0.2874 0.5000 1
Be2 Be 0.0034 0.5017 0.3439 1
Co1 Co 0.0000 0.0000 0.4015 1
Co2 Co 0.0000 0.5000 0.0000 1
```

=====

Material: Sc3BeCo2
Method: DFT, PBE-GGA
State: optimized geometry

Values from the calculation:
density: 4.67 g/cm3
magnetization: 0.50 μB/f.u.
raw total energy: -6.41 eV/atom

Structure (CIF):
```
data_Sc3BeCo2
_cell_length_a 3.147
_cell_length_b 3.147
_cell_length_c 9.405
_cell_angle_alpha 90.00
_cell_angle_beta 90.00
_cell_angle_gamma 90.00
_space_group_name_H-M_alt 'P 4/m m m'
_space_group_IT_number 123
_space_group_name_Hall '-P 4 2'
loop_
_atom_site_label
_atom_site_type_symbol
_atom_site_fract_x
_atom_site_fract_y
_atom_site_fract_z
_atom_site_occupancy
Sc1 Sc 0.000 0.000 0.000 1
Sc2 Sc 0.000 0.000 0.328 1
Be1 Be 0.500 0.500 0.500 1
Co1 Co 0.500 0.500 0.168 1
```

=====

Material: ScBeCo2
Method: DFT, PBE-GGA
State: optimized geometry

Values from the calculation:
density: 5.80 g/cm3
magnetization: 1.17 μB/f.u.
raw total energy: -5.99 eV/atom

Structure (CIF):
```
data_ScBeCo2
_cell_length_a 5.220
_cell_length_b 7.722
_cell_length_c 2.669
_cell_angle_alpha 90.00
_cell_angle_beta 113.94
_cell_angle_gamma 90.00
_space_group_name_H-M_alt 'C 1 2/m 1'
_space_group_IT_number 12
loop_
_space_group_symop_operation_xyz
'x,y,z'
'-x,-y,-z'
'-x,y,-z'
'x,-y,z'
'x+1/2,y+1/2,z'
'-x+1/2,-y+1/2,-z'
'-x+1/2,y+1/2,-z'
'x+1/2,-y+1/2,z'
loop_
_atom_site_label
_atom_site_type_symbol
_atom_site_fract_x
_atom_site_fract_y
_atom_site_fract_z
_atom_site_occupancy
Sc1 Sc 0.000 0.000 0.000 1
Be1 Be 0.000 0.500 0.000 1
Co1 Co 0.250 0.250 0.500 1
```

=====

Material: ScBe4Co
Method: DFT, PBE-GGA
State: optimized geometry

Values from the calculation:
density: 3.81 g/cm3
magnetization: 0.00 μB/f.u.
raw total energy: -5.03 eV/atom

Structure (CIF):
```
data_ScBe4Co
_cell_length_a 6.248
_cell_length_b 6.248
_cell_length_c 6.248
_cell_angle_alpha 90.00
_cell_angle_beta 90.00
_cell_angle_gamma 90.00
_space_group_name_H-M_alt 'F -4 3 m'
_space_group_IT_number 216
_space_group_name_Hall 'F -4 2 3'
loop_
_atom_site_label
_atom_site_type_symbol
_atom_site_fract_x
_atom_site_fract_y
_atom_site_fract_z
_atom_site_occupancy
Sc1 Sc 0.000 0.000 0.000 1
Be1 Be 0.123 0.123 0.623 1
Co1 Co 0.250 0.250 0.250 1
```

=====

Material: ScBeCo2
Method: DFT, PBE-GGA
State: optimized geometry

Values from the calculation:
density: 5.14 g/cm3
magnetization: 1.66 μB/f.u.
raw total energy: -6.21 eV/atom

Structure (CIF):
```
data_ScBeCo2
_cell_length_a 3.8416
_cell_length_b 3.8416
_cell_length_c 13.0372
_cell_angle_alpha 90.00
_cell_angle_beta 90.00
_cell_angle_gamma 120.00
_space_group_name_H-M_alt 'R -3 m'
_space_group_IT_number 166
_space_group_name_Hall '-R 3 2"'
loop_
_atom_site_label
_atom_site_type_symbol
_atom_site_fract_x
_atom_site_fract_y
_atom_site_fract_z
_atom_site_occupancy
Sc1 Sc 0.0000 0.0000 0.0000 1
Be1 Be 0.0000 0.0000 0.5000 1
Co1 Co 0.0000 0.0000 0.1933 1
```

=====

Material: ScBe3Co
Method: DFT, PBE-GGA
State: optimized geometry

Values from the calculation:
energy above the lowest structure with this stoichiometry: 0.0 meV/atom
density: 3.70 g/cm3
magnetization: 0.82 μB/f.u.
raw total energy: -5.02 eV/atom

Structure (CIF):
```
data_ScBe3Co
_cell_length_a 5.022
_cell_length_b 10.390
_cell_length_c 4.502
_cell_angle_alpha 90.00
_cell_angle_beta 90.00
_cell_angle_gamma 90.00
_space_group_name_H-M_alt 'C m c m'
_space_group_IT_number 63
_space_group_name_Hall '-C 2c 2'
loop_
_atom_site_label
_atom_site_type_symbol
_atom_site_fract_x
_atom_site_fract_y
_atom_site_fract_z
_atom_site_occupancy
Sc1 Sc 0.000 0.106 0.250 1
Be1 Be 0.000 0.309 0.750 1
Be2 Be 0.225 0.352 0.250 1
Co1 Co 0.000 0.500 0.000 1
```

=====

Material: Sc3BeCo
Method: DFT, PBE-GGA
State: optimized geometry

Values from the calculation:
energy above the lowest structure with this stoichiometry: 0.0 meV/atom
density: 3.14 g/cm3
magnetization: 0.00 μB/f.u.
raw total energy: -5.70 eV/atom

Structure (CIF):
```
data_Sc3BeCo
_cell_length_a 4.753
_cell_length_b 4.753
_cell_length_c 4.753
_cell_angle_alpha 90.00
_cell_angle_beta 90.00
_cell_angle_gamma 90.00
_space_group_name_H-M_alt 'P m -3 m'
_space_group_IT_number 221
_space_group_name_Hall '-P 4 2 3'
loop_
_atom_site_label
_atom_site_type_symbol
_atom_site_fract_x
_atom_site_fract_y
_atom_site_fract_z
_atom_site_occupancy
Sc1 Sc 0.000 0.000 0.500 1
Be1 Be 0.500 0.500 0.500 1
Co1 Co 0.000 0.000 0.000 1
```

=====

Material: Sc2BeCo
Method: DFT, PBE-GGA
State: optimized geometry

Values from the calculation:
density: 3.98 g/cm3
magnetization: 0.00 μB/f.u.
raw total energy: -6.08 eV/atom

Structure (CIF):
```
data_Sc2BeCo
_cell_length_a 3.759
_cell_length_b 3.531
_cell_length_c 9.928
_cell_angle_alpha 90.00
_cell_angle_beta 90.00
_cell_angle_gamma 90.00
_space_group_name_H-M_alt 'A m m 2'
_space_group_IT_number 38
loop_
_space_group_symop_operation_xyz
'x,y,z'
'-x,-y,z'
'-x,y,z'
'x,-y,z'
'x,y+1/2,z+1/2'
'-x,-y+1/2,z+1/2'
'-x,y+1/2,z+1/2'
'x,-y+1/2,z+1/2'
loop_
_atom_site_label
_atom_site_type_symbol
_atom_site_fract_x
_atom_site_fract_y
_atom_site_fract_z
_atom_site_occupancy
Sc1 Sc 0.000 0.000 0.000 1
Sc2 Sc 0.500 0.000 0.283 1
Be1 Be 0.500 0.000 0.582 1
Co1 Co 0.000 0.000 0.701 1
```